Material: CoRuCl
Method: DFT, SCAN
State: single point on PBEsol structure

E_form (uncorrected) (eV/atom): 0.4905

a b c (Å): 2.8206 2.8206 5.6660
angles (deg): 90.00 90.00 120.00
With the nearest neighbours (Å) after each atom.
Fractional positions:
Ru1 0.3333 0.6667 0.3467  3 Co 2.45, 3 Cl 2.62
Co1 0.6667 0.3333 0.6699  3 Cl 2.41, 3 Ru 2.45
Cl1 0.0000 0.0000 0.9835  3 Co 2.41, 3 Ru 2.62

Material: Ba2FeWO6
Method: DFT, SCAN
State: single point on PBEsol structure

E_form (uncorrected) (eV/atom): -2.5403

a b c (Å): 5.5886 5.5888 9.6796
angles (deg): 73.23 73.22 60.00
With the nearest neighbours (Å) after each atom.
Fractional positions:
Ba1 0.3750 0.8750 0.8750  12 O 2.79
Ba2 0.8750 0.3750 0.3750  12 O 2.79
Ba3 0.6250 0.1250 0.1250  12 O 2.79
Ba4 0.1250 0.6250 0.6250  12 O 2.79
Fe1 0.5000 0.0000 0.5000  6 O 2.00
Fe2 0.0000 0.5000 0.0000  6 O 2.00
W1 0.2500 0.7500 0.2500  6 O 1.96
W2 0.7500 0.2500 0.7500  6 O 1.96
O1 0.6211 0.6263 0.1263  1 W 1.96, 1 Fe 2.00
O2 0.1211 0.1262 0.6263  1 W 1.96, 1 Fe 2.00
O3 0.8737 0.3738 0.8737  1 W 1.96, 1 Fe 2.00
O4 0.3737 0.8737 0.3737  1 W 1.96, 1 Fe 2.00
O5 0.1263 0.6262 0.1263  1 W 1.96, 1 Fe 2.00
O6 0.6263 0.1263 0.6263  1 W 1.96, 1 Fe 2.00
O7 0.3789 0.3737 0.8737  1 W 1.96, 1 Fe 2.00
O8 0.8789 0.8738 0.3737  1 W 1.96, 1 Fe 2.00
O9 0.8737 0.8789 0.8737  1 W 1.96, 1 Fe 2.00
O10 0.3736 0.3789 0.3737  1 W 1.96, 1 Fe 2.00
O11 0.1263 0.1211 0.1263  1 W 1.96, 1 Fe 2.00
O12 0.6264 0.6211 0.6263  1 W 1.96, 1 Fe 2.00

Material: ScSbRh2
Method: DFT, SCAN
State: single point on PBEsol structure

E_form (uncorrected) (eV/atom): -0.7160

a b c (Å): 3.1990 3.4869 5.9751
angles (deg): 90.00 90.00 90.00
With the nearest neighbours (Å) after each atom.
Fractional positions:
Rh1 0.0000 0.0000 0.7521  4 Sb 2.79, 4 Sc 2.80, 2 Rh 2.96-3.01
Rh2 0.0000 0.0000 0.2479  4 Sb 2.79, 4 Sc 2.80, 2 Rh 2.96-3.01
Sb1 0.5000 0.5000 0.0000  8 Rh 2.79, 2 Sc 2.99
Sc1 0.5000 0.5000 0.5000  8 Rh 2.80, 2 Sb 2.99

Material: LaHgGe3
Method: DFT, SCAN
State: single point on PBEsol structure

Calculated formation energy (meV per atom): 280

a b c (Å): 5.1049 5.1049 5.1049
angles (deg): 90.00 90.00 90.00
With the nearest neighbours (Å) after each atom.
Fractional positions:
Ge1 0.0000 0.5000 0.0000  2 Hg 2.55
Ge2 0.0000 0.0000 0.5000  2 Hg 2.55
Ge3 0.5000 0.0000 0.0000  2 Hg 2.55
Hg1 0.0000 0.0000 0.0000  6 Ge 2.55
La1 0.5000 0.5000 0.5000  12 Ge 3.61

Material: Be2MoAsRu
Method: DFT, SCAN
State: single point on PBEsol structure

Calculated formation energy (meV per atom): 1162

a b c (Å): 3.9601 3.9601 4.7335
angles (deg): 90.00 90.00 90.00
With the nearest neighbours (Å) after each atom.
Fractional positions:
Ru1 0.5000 0.5000 0.5000  4 Mo 2.80, 8 Be 3.09
Mo1 0.0000 0.0000 0.5000  2 As 2.37
As1 0.0000 0.0000 0.0000  4 Be 1.98
Be1 0.0000 0.5000 0.0000  2 As 1.98
Be2 0.5000 0.0000 0.0000  2 As 1.98

Material: CaNiBP2H3O10
Method: DFT, SCAN
State: single point on PBEsol structure

E_tot (Ry per atom): -0.681

a b c (Å): 6.5712 6.5712 9.1057
angles (deg): 70.16 70.16 77.62
With the nearest neighbours (Å) after each atom.
Fractional positions:
Ca1 0.1302 0.8698 0.2500  8 O 2.41-2.61
Ca2 0.8698 0.1302 0.7500  8 O 2.41-2.61
Ni1 0.5000 0.0000 0.5000  6 O 2.02-2.06
Ni2 0.0000 0.5000 0.0000  6 O 2.02-2.06
B1 0.5296 0.4704 0.2500  4 O 1.45-1.50
B2 0.4704 0.5296 0.7500  4 O 1.45-1.50
P1 0.1515 0.2814 0.3251  4 O 1.52-1.58
P2 0.7186 0.8485 0.1749  4 O 1.52-1.58
P3 0.2814 0.1515 0.8251  4 O 1.52-1.58
P4 0.8485 0.7186 0.6749  4 O 1.52-1.58
H1 0.0000 0.5000 0.5000  2 O 1.21
H2 0.5000 0.0000 0.0000  2 O 1.21
H3 0.6671 0.3022 0.0802  1 O 0.99
H4 0.6978 0.3329 0.4198  1 O 0.99
H5 0.3022 0.6671 0.5802  1 O 0.99
H6 0.3329 0.6978 0.9198  1 O 0.99
O1 0.2991 0.4708 0.2560  1 B 1.50, 1 P 1.57
O2 0.6799 0.4378 0.0987  1 H 0.99
O3 0.4708 0.2991 0.7560  1 B 1.50, 1 P 1.57
O4 0.7009 0.5292 0.7440  1 B 1.50, 1 P 1.57
O5 0.5292 0.7009 0.2440  1 B 1.50, 1 P 1.57
O6 0.5622 0.3201 0.4013  1 H 0.99
O7 0.6510 0.0367 0.0315  1 H 1.21
O8 0.9633 0.3490 0.4685  1 H 1.21
O9 0.3490 0.9633 0.9685  1 H 1.21
O10 0.0367 0.6510 0.5315  1 H 1.21
O11 0.3201 0.5622 0.9013  1 H 0.99
O12 0.0562 0.2697 0.8861  1 P 1.53
O13 0.2697 0.0562 0.3861  1 P 1.53
O14 0.9438 0.7303 0.1139  1 P 1.53
O15 0.2631 0.0618 0.6968  1 P 1.52
O16 0.9382 0.7369 0.8032  1 P 1.52
O17 0.7369 0.9382 0.3032  1 P 1.52
O18 0.0618 0.2631 0.1968  1 P 1.52
O19 0.4378 0.6799 0.5987  1 H 0.99
O20 0.7303 0.9438 0.6139  1 P 1.53

Material: ScTc2W
Method: DFT, SCAN
State: single point on PBEsol structure

Calculated formation energy (meV per atom): 171
Energy above the most stable polymorph in this dataset (eV per atom): 0.447

a b c (Å): 2.9501 2.9501 8.6258
angles (deg): 80.15 80.15 60.00
With the nearest neighbours (Å) after each atom.
Fractional positions:
Sc1 0.0000 0.0000 0.0000  6 Tc 2.80, 6 Sc 2.95
Tc1 0.2455 0.2455 0.2635  3 W 2.63, 3 Sc 2.80
Tc2 0.7545 0.7545 0.7365  3 W 2.63, 3 Sc 2.80
W1 0.5000 0.5000 0.5000  6 Tc 2.63

Material: AgAu
Method: DFT, SCAN
State: single point on PBEsol structure

Calculated formation energy (meV per atom): -89

a b c (Å): 2.8498 2.8498 4.1039
angles (deg): 90.00 90.00 90.00
With the nearest neighbours (Å) after each atom.
Fractional positions:
Au1 0.0000 0.0000 0.0000  4 Au 2.85, 8 Ag 2.88
Ag1 0.5000 0.5000 0.5000  4 Ag 2.85, 8 Au 2.88

Material: CdAg2Hg
Method: DFT, SCAN
State: single point on PBEsol structure

Calculated formation energy (meV per atom): 13
Energy above the most stable polymorph in this dataset (eV per atom): 0.024

a b c (Å): 3.1148 3.1148 7.6385
angles (deg): 90.00 90.00 90.01
With the nearest neighbours (Å) after each atom.
Fractional positions:
Hg1 0.5000 0.5000 0.2387  4 Ag 2.92, 4 Cd 3.05, 4 Hg 3.11
Ag1 0.0000 0.0000 0.9883  8 Ag 2.82-3.11, 4 Hg 2.92
Ag2 0.5000 0.5000 0.7573  8 Ag 2.82-3.11, 4 Cd 2.87
Cd1 0.0000 0.0000 0.5158  4 Ag 2.87, 4 Hg 3.05, 4 Cd 3.11

Material: CaTiCrN2
Method: DFT, SCAN
State: single point on PBEsol structure

E_form (uncorrected) (eV/atom): 0.8279

a b c (Å): 4.0039 4.0039 5.2160
angles (deg): 90.00 90.00 90.00
With the nearest neighbours (Å) after each atom.
Fractional positions:
Cr1 0.5000 0.5000 0.5000  4 Ca 2.83
Ca1 0.0000 0.0000 0.5000  2 Ti 2.61, 4 Cr 2.83
N1 0.0000 0.5000 0.0000  2 Ti 2.00
N2 0.5000 0.0000 0.0000  2 Ti 2.00
Ti1 0.0000 0.0000 0.0000  4 N 2.00

Material: NbTlNiS3
Method: DFT, SCAN
State: single point on PBEsol structure

E_form (uncorrected) (eV/atom): -0.7957

a b c (Å): 3.3980 7.3565 9.2605
angles (deg): 90.00 90.00 103.35
With the nearest neighbours (Å) after each atom.
Fractional positions:
S1 0.3774 0.7547 0.4437  1 Ni 2.21
S2 0.6226 0.2453 0.5563  1 Ni 2.21
S3 0.6226 0.2453 0.9437  1 Ni 2.21
S4 0.0652 0.1304 0.2500  2 Ni 2.20
S5 0.9348 0.8696 0.7500  2 Ni 2.20
S6 0.3774 0.7547 0.0563  1 Ni 2.21
Ni1 0.4674 0.9348 0.2500  4 S 2.20-2.21
Ni2 0.5326 0.0652 0.7500  4 S 2.20-2.21
Tl1 0.2525 0.5050 0.7500  8 S 3.09-3.35, 2 Tl 3.40
Tl2 0.7475 0.4950 0.2500  8 S 3.09-3.35, 2 Tl 3.40
Nb1 0.0000 0.0000 0.5000  6 S 2.50
Nb2 0.0000 0.0000 0.0000  6 S 2.50

Material: SrH18O10
Method: DFT, SCAN
State: single point on PBEsol structure

E_tot (Ry per atom): -0.462

a b c (Å): 8.8650 8.8650 11.1088
angles (deg): 90.00 90.00 90.00
With the nearest neighbours (Å) after each atom.
Fractional positions:
Sr1 0.0000 0.0000 0.7500  8 O 2.60-2.63
Sr2 0.5000 0.5000 0.7500  8 O 2.60-2.63
Sr3 0.5000 0.5000 0.2500  8 O 2.60-2.63
Sr4 0.0000 0.0000 0.2500  8 O 2.60-2.63
H1 0.7116 0.5968 0.4692  1 O 1.01
H2 0.2884 0.4032 0.4692  1 O 1.01
H3 0.5968 0.7116 0.0308  1 O 1.01
H4 0.0968 0.7884 0.4692  1 O 1.01
H5 0.9032 0.2116 0.4692  1 O 1.01
H6 0.7884 0.0968 0.0308  1 O 1.01
H7 0.2116 0.9032 0.0308  1 O 1.01
H8 0.4032 0.2884 0.0308  1 O 1.01
H9 0.7884 0.9032 0.5308  1 O 1.01
H10 0.2116 0.0968 0.5308  1 O 1.01
H11 0.9032 0.7884 0.9692  1 O 1.01
H12 0.4032 0.7116 0.5308  1 O 1.01
H13 0.5968 0.2884 0.5308  1 O 1.01
H14 0.7116 0.4032 0.9692  1 O 1.01
H15 0.2884 0.5968 0.9692  1 O 1.01
H16 0.0968 0.2116 0.9692  1 O 1.01
H17 0.8304 0.5596 0.3637  1 O 1.02
H18 0.1696 0.4404 0.3637  1 O 1.02
H19 0.5596 0.8304 0.1363  1 O 1.02
H20 0.0596 0.6696 0.3637  1 O 1.02
H21 0.9404 0.3304 0.3637  1 O 1.02
H22 0.6696 0.0596 0.1363  1 O 1.02
H23 0.3304 0.9404 0.1363  1 O 1.02
H24 0.4404 0.1696 0.1363  1 O 1.02
H25 0.6696 0.9404 0.6363  1 O 1.02
H26 0.3304 0.0596 0.6363  1 O 1.02
H27 0.9404 0.6696 0.8637  1 O 1.02
H28 0.4404 0.8304 0.6363  1 O 1.02
H29 0.7142 0.2604 0.3714  1 O 1.02
H30 0.5596 0.1696 0.6363  1 O 1.02
H31 0.1696 0.5596 0.8637  1 O 1.02
H32 0.0596 0.3304 0.8637  1 O 1.02
H33 0.7396 0.7142 0.6286  1 O 1.02
H34 0.2604 0.2858 0.6286  1 O 1.02
H35 0.7142 0.7396 0.8714  1 O 1.02
H36 0.2142 0.7604 0.6286  1 O 1.02
H37 0.7858 0.2396 0.6286  1 O 1.02
H38 0.7604 0.2142 0.8714  1 O 1.02
H39 0.2396 0.7858 0.8714  1 O 1.02
H40 0.2858 0.2604 0.8714  1 O 1.02
H41 0.7604 0.7858 0.3714  1 O 1.02
H42 0.2396 0.2142 0.3714  1 O 1.02
H43 0.7858 0.7604 0.1286  1 O 1.02
H44 0.2858 0.7396 0.3714  1 O 1.02
H45 0.0000 0.5000 0.0111  1 O 0.99
H46 0.5000 0.0000 0.4889  1 O 0.99
H47 0.5000 0.0000 0.9889  1 O 0.99
H48 0.0000 0.5000 0.5111  1 O 0.99
H49 0.0000 0.5000 0.2557  1 O 0.99
H50 0.5000 0.0000 0.2443  1 O 0.99
H51 0.5000 0.0000 0.7443  1 O 0.99
H52 0.0000 0.5000 0.7557  1 O 0.99
H53 0.0568 0.3282 0.1200  1 O 1.02
H54 0.1718 0.5568 0.1200  1 O 1.02
H55 0.8282 0.4432 0.1200  1 O 1.02
H56 0.5568 0.1718 0.3800  1 O 1.02
H57 0.4432 0.8282 0.3800  1 O 1.02
H58 0.9432 0.6718 0.1200  1 O 1.02
H59 0.3282 0.0568 0.3800  1 O 1.02
H60 0.6718 0.9432 0.3800  1 O 1.02
H61 0.4432 0.1718 0.8800  1 O 1.02
H62 0.3282 0.9432 0.8800  1 O 1.02
H63 0.6718 0.0568 0.8800  1 O 1.02
H64 0.9432 0.3282 0.6200  1 O 1.02
H65 0.0568 0.6718 0.6200  1 O 1.02
H66 0.5568 0.8282 0.8800  1 O 1.02
H67 0.1718 0.4432 0.6200  1 O 1.02
H68 0.8282 0.5568 0.6200  1 O 1.02
H69 0.2142 0.2396 0.1286  1 O 1.02
H70 0.2604 0.7142 0.1286  1 O 1.02
H71 0.7396 0.2858 0.1286  1 O 1.02
H72 0.8304 0.4404 0.8637  1 O 1.02
O1 0.7254 0.6041 0.3789  2 H 1.01-1.02
O2 0.2746 0.3959 0.3789  2 H 1.01-1.02
O3 0.6041 0.7254 0.1211  2 H 1.01-1.02
O4 0.1041 0.7746 0.3789  2 H 1.01-1.02
O5 0.8959 0.2254 0.3789  2 H 1.01-1.02
O6 0.7746 0.1041 0.1211  2 H 1.01-1.02
O7 0.2254 0.8959 0.1211  2 H 1.01-1.02
O8 0.3959 0.2746 0.1211  2 H 1.01-1.02
O9 0.7746 0.8959 0.6211  2 H 1.01-1.02
O10 0.2254 0.1041 0.6211  2 H 1.01-1.02
O11 0.8959 0.7746 0.8789  2 H 1.01-1.02
O12 0.3959 0.7254 0.6211  2 H 1.01-1.02
O13 0.6041 0.2746 0.6211  2 H 1.01-1.02
O14 0.7254 0.3959 0.8789  2 H 1.01-1.02
O15 0.2746 0.6041 0.8789  2 H 1.01-1.02
O16 0.1041 0.2254 0.8789  2 H 1.01-1.02
O17 0.7221 0.6013 0.6198  2 H 1.02
O18 0.2779 0.3987 0.6198  2 H 1.02
O19 0.6013 0.7221 0.8802  2 H 1.02
O20 0.1013 0.7779 0.6198  2 H 1.02
O21 0.8987 0.2221 0.6198  2 H 1.02
O22 0.7779 0.1013 0.8802  2 H 1.02
O23 0.2221 0.8987 0.8802  2 H 1.02
O24 0.3987 0.2779 0.8802  2 H 1.02
O25 0.7779 0.8987 0.3802  2 H 1.02
O26 0.2221 0.1013 0.3802  2 H 1.02
O27 0.8987 0.7779 0.1198  2 H 1.02
O28 0.3987 0.7221 0.3802  2 H 1.02
O29 0.6013 0.2779 0.3802  2 H 1.02
O30 0.7221 0.3987 0.1198  2 H 1.02
O31 0.2779 0.6013 0.1198  2 H 1.02
O32 0.1013 0.2221 0.1198  2 H 1.02
O33 0.0000 0.5000 0.8448  1 H 0.99
O34 0.5000 0.0000 0.6552  1 H 0.99
O35 0.5000 0.0000 0.1552  1 H 0.99
O36 0.0000 0.5000 0.3448  1 H 0.99
O37 0.0000 0.5000 0.6001  1 H 0.99
O38 0.5000 0.0000 0.8999  1 H 0.99
O39 0.5000 0.0000 0.3999  1 H 0.99
O40 0.0000 0.5000 0.1001  1 H 0.99

Material: CrMoSe2
Method: DFT, SCAN
State: single point on PBEsol structure

Energy above the most stable polymorph in this dataset (eV per atom): 0.232
E_form (uncorrected) (eV/atom): 0.0782

a b c (Å): 3.1180 4.3561 5.0916
angles (deg): 103.78 90.00 110.97
With the nearest neighbours (Å) after each atom.
Fractional positions:
Cr1 0.5190 0.0380 0.6466  5 Se 2.30-2.49
Mo1 0.7480 0.4960 0.2315  5 Se 2.48-2.57
Se1 0.0029 0.0057 0.0199  2 Cr 2.49, 3 Mo 2.54-2.57
Se2 0.2302 0.4603 0.6021  3 Cr 2.30-2.37, 2 Mo 2.48

Material: BeAg2Cl
Method: DFT, SCAN
State: single point on PBEsol structure

Energy above the most stable polymorph in this dataset (eV per atom): 0.221
E_form (uncorrected) (eV/atom): 0.2680

a b c (Å): 4.4142 4.4142 8.4004
angles (deg): 105.23 105.23 90.00
With the nearest neighbours (Å) after each atom.
Fractional positions:
Be1 0.7500 0.2500 0.5000  4 Ag 2.38
Be2 0.5000 0.5000 0.0000  4 Ag 2.38
Ag1 0.8092 0.3750 0.2500  2 Be 2.38, 2 Cl 2.64
Ag2 0.4408 0.8750 0.2500  2 Be 2.38, 2 Cl 2.64
Ag3 0.6250 0.5592 0.7500  2 Be 2.38, 2 Cl 2.64
Ag4 0.1250 0.1908 0.7500  2 Be 2.38, 2 Cl 2.64
Cl1 0.2500 0.7500 0.5000  4 Ag 2.64
Cl2 0.0000 0.0000 0.0000  4 Ag 2.64

Material: KLi2Bi2
Method: DFT, SCAN
State: single point on PBEsol structure

Calculated formation energy (meV per atom): -413
Energy above the most stable polymorph in this dataset (eV per atom): 0.020

a b c (Å): 3.2883 9.0712 9.0712
angles (deg): 90.00 90.00 90.00
With the nearest neighbours (Å) after each atom.
Fractional positions:
K1 0.0000 0.0000 0.0000  2 K 3.29, 4 Bi 3.47
K2 0.0000 0.5000 0.5000  2 K 3.29, 4 Bi 3.47
Bi1 0.0000 0.3542 0.8542  6 Li 3.05-3.23, 2 Bi 3.29
Bi2 0.0000 0.8542 0.6458  6 Li 3.05-3.23, 2 Bi 3.29
Bi3 0.0000 0.6458 0.1458  6 Li 3.05-3.23, 2 Bi 3.29
Bi4 0.0000 0.1458 0.3542  6 Li 3.05-3.23, 2 Bi 3.29
Li1 0.5000 0.1377 0.6377  6 Bi 3.05-3.23, 2 Li 3.29
Li2 0.5000 0.6377 0.8623  6 Bi 3.05-3.23, 2 Li 3.29
Li3 0.5000 0.8623 0.3623  6 Bi 3.05-3.23, 2 Li 3.29
Li4 0.5000 0.3623 0.1377  6 Bi 3.05-3.23, 2 Li 3.29

Material: Mo2BrO2
Method: DFT, SCAN
State: single point on PBEsol structure

E_form (uncorrected) (eV/atom): -0.6851

a b c (Å): 3.9090 3.9090 5.0124
angles (deg): 112.95 112.95 90.00
With the nearest neighbours (Å) after each atom.
Fractional positions:
Mo1 0.3623 0.3623 0.7246  4 O 2.17, 1 Mo 2.30
Mo2 0.6377 0.6377 0.2754  4 O 2.17, 1 Mo 2.30
O1 0.2500 0.7500 0.5000  4 Mo 2.17
O2 0.7500 0.2500 0.5000  4 Mo 2.17
Br1 0.0000 0.0000 0.0000  8 O 2.86, 10 Mo 2.99-3.03

Material: LiRuPt2Rh
Method: DFT, SCAN
State: single point on PBEsol structure

Calculated formation energy (meV per atom): 1004

a b c (Å): 4.5547 4.7799 4.7799
angles (deg): 90.00 90.00 90.00
With the nearest neighbours (Å) after each atom.
Fractional positions:
Ru1 0.0000 0.0000 0.0000  2 Rh 2.28, 4 Pt 2.39
Rh1 0.5000 0.0000 0.0000  2 Ru 2.28
Pt1 0.0000 0.0000 0.5000  2 Ru 2.39
Pt2 0.0000 0.5000 0.0000  2 Ru 2.39
Li1 0.5000 0.5000 0.5000  8 Pt 3.30, 4 Rh 3.38

Material: MgCu3Bi
Method: DFT, SCAN
State: single point on PBEsol structure

Calculated formation energy (meV per atom): 832

a b c (Å): 4.8927 4.8927 4.8927
angles (deg): 90.00 90.00 90.00
With the nearest neighbours (Å) after each atom.
Fractional positions:
Mg1 0.5000 0.5000 0.5000  12 Cu 3.46
Bi1 0.0000 0.0000 0.0000  6 Cu 2.45
Cu1 0.0000 0.5000 0.0000  2 Bi 2.45
Cu2 0.0000 0.0000 0.5000  2 Bi 2.45
Cu3 0.5000 0.0000 0.0000  2 Bi 2.45

Material: Hg2PRh
Method: DFT, SCAN
State: single point on PBEsol structure

Calculated formation energy (meV per atom): 427

a b c (Å): 3.6107 3.6107 5.3292
angles (deg): 90.00 90.00 90.00
With the nearest neighbours (Å) after each atom.
Fractional positions:
Hg1 0.0000 0.0000 0.7482  2 Hg 2.64-2.68, 4 Rh 2.88, 4 P 2.88
Hg2 0.0000 0.0000 0.2518  2 Hg 2.64-2.68, 4 Rh 2.88, 4 P 2.88
P1 0.5000 0.5000 0.0000  2 Rh 2.66, 8 Hg 2.88
Rh1 0.5000 0.5000 0.5000  2 P 2.66, 8 Hg 2.88